Entry 1:
A relaxed structure of ZrTlAu2, computed with PBE-GGA.

The structure in CIF format:
```
data_ZrTlAu2
_chemical_formula_sum 'Zr1 Tl1 Au2'
_cell_length_a 3.163
_cell_length_b 4.625
_cell_length_c 5.953
_cell_angle_alpha 90.00
_cell_angle_beta 104.99
_cell_angle_gamma 90.00
_space_group_name_H-M_alt 'P 1 m 1'
_space_group_IT_number 6
loop_
_space_group_symop_operation_xyz
'x,y,z'
'x,-y,z'
loop_
_atom_site_label
_atom_site_type_symbol
_atom_site_fract_x
_atom_site_fract_y
_atom_site_fract_z
Zr1 Zr 0.000 0.000 0.000
Tl1 Tl 0.329 0.500 0.665
Au1 Au 0.584 0.500 0.173
Au2 Au 0.725 0.000 0.463
```

The total energy comes out at -4.519 eV/atom. Its density is 13.61 g/cm³. The density of states at the Fermi level comes out at 2.745 states/eV per cell. Its energy of formation from the pure elements is -0.1512 eV/atom. As for the total moment: 0.00 μB per cell.

Entry 2:
A relaxed structure of NaPmTlGa, computed with PBE-GGA.

The structure in CIF format:
```
data_NaPmTlGa
_chemical_formula_sum 'Na4 Pm4 Tl4 Ga4'
_cell_length_a 7.436
_cell_length_b 7.436
_cell_length_c 7.436
_cell_angle_alpha 90.00
_cell_angle_beta 90.00
_cell_angle_gamma 90.00
_space_group_name_H-M_alt 'F -4 3 m'
_space_group_IT_number 216
_space_group_name_Hall 'F -4 2 3'
loop_
_atom_site_label
_atom_site_type_symbol
_atom_site_fract_x
_atom_site_fract_y
_atom_site_fract_z
Na1 Na 0.000 0.000 0.000
Pm1 Pm 0.000 0.000 0.500
Tl1 Tl 0.250 0.250 0.750
Ga1 Ga 0.250 0.250 0.250
```

The total energy comes out at -3.128 eV/atom. Its density is 7.14 g/cm³. The density of states at the Fermi level comes out at 5.621 states/eV per cell. Its energy of formation from the pure elements is -0.2622 eV/atom. As for the total moment: 0.00 μB per cell.

Entry 3:
A relaxed structure of NpTlReO6, computed with PBE-GGA.

The structure in CIF format:
```
data_NpTlReO6
_chemical_formula_sum 'Np4 Tl4 Re4 O24'
_cell_length_a 7.368
_cell_length_b 7.794
_cell_length_c 10.744
_cell_angle_alpha 90.00
_cell_angle_beta 90.00
_cell_angle_gamma 90.00
_space_group_name_H-M_alt 'I m m a'
_space_group_IT_number 74
_space_group_name_Hall '-I 2b 2'
loop_
_atom_site_label
_atom_site_type_symbol
_atom_site_fract_x
_atom_site_fract_y
_atom_site_fract_z
Np1 Np 0.000 0.000 0.000
Tl1 Tl 0.000 0.250 0.351
Re1 Re 0.250 0.250 0.750
O1 O 0.000 0.250 0.081
O2 O 0.000 0.250 0.709
O3 O 0.204 0.073 0.873
```

The total energy comes out at -8.352 eV/atom. Its density is 7.79 g/cm³. The density of states at the Fermi level comes out at 15.353 states/eV per cell. As for the formation energy from raw total energies: -1.963 eV/atom. As for the total moment: 8.57 μB per cell.

Entry 4:
A relaxed structure of ErPu3Tl4O12, computed with PBE-GGA.

The structure in CIF format:
```
data_ErPu3Tl4O12
_chemical_formula_sum 'Er2 Pu6 Tl8 O24'
_cell_length_a 8.622
_cell_length_b 8.622
_cell_length_c 8.622
_cell_angle_alpha 90.00
_cell_angle_beta 90.00
_cell_angle_gamma 90.00
_space_group_name_H-M_alt 'I m -3 m'
_space_group_IT_number 229
_space_group_name_Hall '-I 4 2 3'
loop_
_atom_site_label
_atom_site_type_symbol
_atom_site_fract_x
_atom_site_fract_y
_atom_site_fract_z
Er1 Er 0.000 0.000 0.000
Pu1 Pu 0.000 0.000 0.500
Tl1 Tl 0.250 0.250 0.250
O1 O 0.000 0.000 0.265
O2 O 0.000 0.250 0.500
```

The total energy comes out at -8.009 eV/atom. Its density is 9.89 g/cm³. The density of states at the Fermi level comes out at 19.531 states/eV per cell. As for the formation energy from raw total energies: -2.183 eV/atom. As for the total moment: 14.00 μB per cell.

Entry 5:
A relaxed structure of CoPRu2, computed with PBE-GGA.

The structure in CIF format:
```
data_CoPRu2
_chemical_formula_sum 'Co1 P1 Ru2'
_cell_length_a 2.790
_cell_length_b 2.790
_cell_length_c 6.365
_cell_angle_alpha 90.00
_cell_angle_beta 90.00
_cell_angle_gamma 90.00
_space_group_name_H-M_alt 'P 4 m m'
_space_group_IT_number 99
loop_
_space_group_symop_operation_xyz
'x,y,z'
'-y,x,z'
'-x,-y,z'
'y,-x,z'
'-x,y,z'
'y,x,z'
'x,-y,z'
'-y,-x,z'
loop_
_atom_site_label
_atom_site_type_symbol
_atom_site_fract_x
_atom_site_fract_y
_atom_site_fract_z
Co1 Co 0.000 0.000 0.000
P1 P 0.500 0.500 0.173
Ru1 Ru 0.000 0.000 0.420
Ru2 Ru 0.500 0.500 0.705
```

The total energy comes out at -7.851 eV/atom. Its density is 9.79 g/cm³. The density of states at the Fermi level comes out at 4.743 states/eV per cell. Its energy of formation from the pure elements is -0.0839 eV/atom. As for the total moment: 0.36 μB per cell.

Entry 6:
A relaxed structure of PrTcS2, computed with PBE-GGA.

The structure in CIF format:
```
data_PrTcS2
_chemical_formula_sum 'Pr3 Tc3 S6'
_cell_length_a 3.6265
_cell_length_b 3.6265
_cell_length_c 24.6967
_cell_angle_alpha 90.00
_cell_angle_beta 90.00
_cell_angle_gamma 120.00
_space_group_name_H-M_alt 'R -3 m'
_space_group_IT_number 166
_space_group_name_Hall '-R 3 2"'
loop_
_atom_site_label
_atom_site_type_symbol
_atom_site_fract_x
_atom_site_fract_y
_atom_site_fract_z
Pr1 Pr 0.0000 0.0000 0.0000
Tc1 Tc 0.0000 0.0000 0.5000
S1 S 0.0000 0.0000 0.1143
```

The total energy comes out at -6.241 eV/atom. Its density is 5.37 g/cm³. The density of states at the Fermi level comes out at 4.738 states/eV per cell. As for the formation energy from raw total energies: -0.391 eV/atom. As for the total moment: 5.52 μB per cell.

> Look up the total moment of the third one.

8.57 μB per cell